NbHgAs2Br: optimized geometry, PBE-GGA.

## Properties
The calculation puts the electronic total energy at -15.11 eV/cell. For the polymorph energy (0 for the lowest one), the calculation gives 1159 meV/atom. The space group is P4/mmm, No. 123.

Cell lengths 5.0669, 5.0669, 5.5727 Å; angles 90.00, 90.00, 90.00 degrees
Atoms (fractional coordinates):
Br 0.0000 0.0000 0.5000
As 0.5000 0.0000 0.0000
Nb 0.5000 0.5000 0.5000
Hg 0.0000 0.0000 0.0000
As 0.0000 0.5000 0.0000